# LiInIr2

A relaxed LiInIr2 crystal (GGA-PBE, OQMD).

DFT total energy: -5.61 eV per atom
magnetization: 4.607 Bohr magnetons per cell

Cell: 6.2810 6.2810 6.2810 Å, 90.00 90.00 90.00°
With the nearest neighbours (Å) after each atom.
Space group F-43m (No. 216)
Asymmetric unit:
Li 0.0000 0.0000 0.0000 [4 per cell]  4 In 2.72, 4 Ir 2.72
In 0.2500 0.2500 0.7500 [4 per cell]  4 Li 2.72, 4 Ir 2.72
Ir 0.0000 0.0000 0.5000 [4 per cell]  4 In 2.72, 4 Ir 2.72
Ir 0.2500 0.2500 0.2500 [4 per cell]  4 Li 2.72, 4 Ir 2.72

***

# LiIn2Ir

A relaxed LiIn2Ir crystal (GGA-PBE, OQMD).

magnetization: 0.012 Bohr magnetons per cell
energy above the most stable polymorph in this dataset: 310 meV per atom

Cell: 6.5683 6.5683 6.5683 Å, 90.00 90.00 90.00°
With the nearest neighbours (Å) after each atom.
Space group F-43m (No. 216)
Asymmetric unit:
Li 0.0000 0.0000 0.0000 [4 per cell]  4 In 2.84, 4 Ir 2.84
In 0.0000 0.0000 0.5000 [4 per cell]  4 In 2.84, 4 Ir 2.84
In 0.2500 0.2500 0.7500 [4 per cell]  4 In 2.84, 4 Li 2.84
Ir 0.2500 0.2500 0.2500 [4 per cell]  4 In 2.84, 4 Li 2.84

***

# LiIn2Ir

A relaxed LiIn2Ir crystal (GGA-PBE, OQMD).

magnetization: 0.009 Bohr magnetons per cell
energy above the most stable polymorph in this dataset: 0 meV per atom

Cell: 6.5257 6.5257 6.5257 Å, 90.00 90.00 90.00°
With the nearest neighbours (Å) after each atom.
Space group Fm-3m (No. 225)
Asymmetric unit:
Li 0.0000 0.0000 0.0000 [4 per cell]  8 In 2.83
In 0.2500 0.2500 0.2500 [8 per cell]  4 Li 2.83, 4 Ir 2.83
Ir 0.0000 0.0000 0.5000 [4 per cell]  8 In 2.83

***

# Li4MgIn2Ir

A relaxed Li4MgIn2Ir crystal (GGA-PBE, OQMD).

DFT total energy: -3.17 eV per atom
magnetization: 0.005 Bohr magnetons per cell

Cell: 4.5707 4.5707 6.6153 Å, 90.00 90.00 90.00°
With the nearest neighbours (Å) after each atom.
Space group P-4m2 (No. 115)
Asymmetric unit:
Li 0.0000 0.0000 0.0000 [1 per cell]  4 Li 2.71, 4 In 2.73
Li 0.0000 0.5000 0.2211 [2 per cell]  4 Li 2.71-2.94, 2 Ir 2.71, 2 Mg 2.94, 1 In 2.96
Li 0.5000 0.5000 0.5000 [1 per cell]  4 In 2.91, 4 Li 2.94, 4 Mg 3.23
Mg 0.0000 0.0000 0.5000 [1 per cell]  4 In 2.91, 8 Li 2.94-3.23
In 0.0000 0.5000 0.7731 [2 per cell]  5 Li 2.73-2.96, 2 Ir 2.73, 2 Mg 2.91
Ir 0.5000 0.5000 0.0000 [1 per cell]  4 Li 2.71, 4 In 2.73